RbCaSc2Cd | PBE | optimized geometry

Properties
The crystal system is tetragonal. The density of states at the Fermi level is 1.703 states/eV/atom. The calculation puts the mass density at 2.74 Mg/m³. For the total energy, the calculation gives -2.38 eV per atom.

abc: 5.8023 5.8940 5.8023
angles: 90.00 90.00 90.00
Site moments in Bohr magnetons follow the coordinates.
Element x y z (fractional)
Sc 0.0000 0.0000 0.5000  0.16
Sc 0.5000 0.0000 0.0000  0.15
Ca 0.0000 0.0000 0.0000  0.04
Rb 0.5000 0.5000 0.5000  0.00
Cd 0.0000 0.5000 0.0000  0.01